1.
## Pu3Pa2S8 (PBE)

Data for crystalline Pu3Pa2S8 at its relaxed geometry.

The value obtained for the volume is 290.5 Å³/cell. Its total DFT energy (no corrections) is -115.744 eV/cell. As for the space group: Cmmm (65). The energy above the most stable polymorph in this dataset is 0.000 eV per atom. As for the uncorrected formation energy: -2001 kJ/mol of formula units.

a b c (Å): 4.701 9.326 8.103
angles (deg): 125.13 90.00 90.00
Each line ends with the local moment (μB).
Atoms (fractional coordinates):
Pu (0.500, 0.000, 0.000)  -5.37
Pu (0.000, 0.273, 0.000)  -5.19
Pu (0.000, 0.727, 0.000)  -5.19
Pa (0.500, 0.261, 0.521)  -0.95
Pa (0.500, 0.739, 0.479)  -0.95
S (0.000, 0.632, 0.264)  0.07
S (0.000, 0.368, 0.736)  0.07
S (0.000, 0.123, 0.246)  0.10
S (0.000, 0.877, 0.754)  0.10
S (0.500, 0.628, 0.749)  0.09
S (0.500, 0.120, 0.749)  0.09
S (0.500, 0.880, 0.251)  0.09
S (0.500, 0.372, 0.251)  0.09


2.
## SnGeMo2 (PBE)

Data for crystalline SnGeMo2 at its relaxed geometry.

The value obtained for the volume is 69.6 Å³/cell. As for the energy of formation: 0.25 eV/atom. Its total DFT energy (no corrections) is -29.263 eV/cell. As for the space group: R3m (160). The energy above the most stable polymorph in this dataset is 0.000 eV per atom.

a b c (Å): 3.114 3.114 8.479
angles (deg): 79.42 79.42 60.00
Atoms (fractional coordinates):
Sn (0.500, 0.500, 0.501)
Ge (0.667, 0.667, 0.000)
Mo (0.078, 0.078, 0.766)
Mo (0.256, 0.256, 0.233)


3.
## TaCo2 (PBE)

Data for crystalline TaCo2 at its relaxed geometry.

The value obtained for the volume is 152.4 Å³/cell. As for the energy of formation: -0.22 eV/atom. Its total DFT energy (no corrections) is -106.854 eV/cell. As for the space group: P6_3/mmc (194).

a b c (Å): 4.769 4.769 7.737
angles (deg): 90.00 90.00 120.00
Each line ends with the local moment (μB).
Atoms (fractional coordinates):
Ta (0.333, 0.667, 0.065)  -0.06
Ta (0.667, 0.333, 0.935)  -0.06
Ta (0.333, 0.667, 0.435)  -0.06
Ta (0.667, 0.333, 0.565)  -0.06
Co (0.832, 0.168, 0.250)  0.40
Co (0.337, 0.168, 0.250)  0.40
Co (0.168, 0.832, 0.750)  0.40
Co (0.168, 0.337, 0.750)  0.40
Co (0.832, 0.663, 0.250)  0.40
Co (0.000, 0.000, 0.000)  0.75
Co (0.663, 0.832, 0.750)  0.40
Co (0.000, 0.000, 0.500)  0.75


4.
## BC5 (PBE)

Data for crystalline BC5 at its relaxed geometry.

The value obtained for the volume is 72.2 Å³/cell. As for the energy of formation: 0.24 eV/atom. Its total DFT energy (no corrections) is -102.663 eV/cell. As for the space group: C2/m (12). The energy above the most stable polymorph in this dataset is 0.035 eV per atom.

a b c (Å): 4.483 4.483 7.383
angles (deg): 114.92 114.92 32.81
Atoms (fractional coordinates):
B (0.504, 0.504, 0.369)
B (0.662, 0.662, 0.839)
C (0.674, 0.674, 0.330)
C (0.328, 0.328, 0.158)
C (0.171, 0.171, 0.208)
C (0.996, 0.996, 0.000)
C (0.838, 0.838, 0.050)
C (0.493, 0.493, 0.878)
C (0.330, 0.330, 0.666)
C (0.166, 0.166, 0.696)
C (0.000, 0.000, 0.512)
C (0.836, 0.836, 0.542)


5.
## Fe2SiPb (PBE)

Data for crystalline Fe2SiPb at its relaxed geometry.

The value obtained for the volume is 60.9 Å³/cell. Its total DFT energy (no corrections) is -24.394 eV/cell. As for the space group: Immm (71). The energy above the most stable polymorph in this dataset is 0.261 eV per atom. As for the uncorrected formation energy: 160 kJ/mol of formula units.

a b c (Å): 4.552 4.552 4.552
angles (deg): 131.17 116.65 83.87
Each line ends with the local moment (μB).
Atoms (fractional coordinates):
Fe (0.053, 0.053, 0.000)  1.49
Fe (0.447, 0.447, 0.000)  1.49
Pb (0.750, 0.250, 0.500)  -0.06
Si (0.250, 0.750, 0.500)  -0.08


6.
## TbPu5Ge6 (PBE)

Data for crystalline TbPu5Ge6 at its relaxed geometry.

The value obtained for the volume is 264.5 Å³/cell. As for the energy of formation: -0.44 eV/atom. Its total DFT energy (no corrections) is -109.216 eV/cell. As for the space group: Cmmm (65).

a b c (Å): 9.389 4.662 7.344
angles (deg): 71.45 99.09 119.78
Each line ends with the local moment (μB).
Atoms (fractional coordinates):
Tb (0.000, 0.000, 0.000)  0.20
Pu (0.500, 0.170, 0.660)  5.24
Pu (0.000, 0.329, 0.342)  5.37
Pu (0.500, 0.500, 0.000)  -5.13
Pu (0.000, 0.671, 0.658)  5.37
Pu (0.500, 0.830, 0.340)  5.24
Ge (0.749, 0.915, 0.668)  -0.04
Ge (0.251, 0.417, 0.668)  -0.04
Ge (0.251, 0.750, 0.000)  -0.04
Ge (0.749, 0.250, 0.000)  -0.04
Ge (0.749, 0.583, 0.332)  -0.04
Ge (0.251, 0.085, 0.332)  -0.04


7.
## LaCoC (PBE)

Data for crystalline LaCoC at its relaxed geometry.

The value obtained for the volume is 188.8 Å³/cell. As for the energy of formation: -0.21 eV/atom. Its total DFT energy (no corrections) is -87.596 eV/cell. As for the space group: P2_1/c (14). The energy above the most stable polymorph in this dataset is 0.000 eV per atom.

a b c (Å): 6.548 6.292 5.327
angles (deg): 90.00 120.68 90.00
Atoms (fractional coordinates):
La (0.838, 0.543, 0.164)
La (0.662, 0.043, 0.836)
La (0.162, 0.457, 0.836)
La (0.338, 0.957, 0.164)
Co (0.397, 0.621, 0.560)
Co (0.103, 0.121, 0.440)
Co (0.603, 0.379, 0.440)
Co (0.897, 0.879, 0.560)
C (0.189, 0.830, 0.555)
C (0.311, 0.330, 0.445)
C (0.811, 0.170, 0.445)
C (0.689, 0.670, 0.555)


8.
## ThAsAuSe (PBE)

Data for crystalline ThAsAuSe at its relaxed geometry.

The value obtained for the volume is 181.1 Å³/cell. Its total DFT energy (no corrections) is -45.116 eV/cell. As for the space group: P4/nmm (129). As for the uncorrected formation energy: -360 kJ/mol of formula units.

a b c (Å): 4.529 4.529 8.829
angles (deg): 90.00 90.00 90.00
Atoms (fractional coordinates):
Th (0.500, 0.000, 0.714)
Th (0.000, 0.500, 0.286)
As (0.000, 0.500, 0.815)
As (0.500, 0.000, 0.185)
Au (0.500, 0.500, 0.000)
Au (0.000, 0.000, 0.000)
Se (0.000, 0.000, 0.500)
Se (0.500, 0.500, 0.500)


9.
## KPtS (PBE)

Data for crystalline KPtS at its relaxed geometry.

The value obtained for the volume is 71.9 Å³/cell. Its total DFT energy (no corrections) is -13.093 eV/cell. As for the space group: P-6m2 (187). As for the uncorrected formation energy: -176 kJ/mol of formula units.

a b c (Å): 5.075 4.045 4.045
angles (deg): 120.00 90.00 90.00
Atoms (fractional coordinates):
K (0.667, 0.667, 0.333)
S (0.166, 0.000, 0.000)
Pt (0.167, 0.333, 0.667)


10.
## Ca2HfPOs (PBE)

Data for crystalline Ca2HfPOs at its relaxed geometry.

The value obtained for the volume is 157.7 Å³/cell. As for the energy of formation: 1.23 eV/atom. Its total DFT energy (no corrections) is -24.437 eV/cell. As for the space group: P4/mmm (123).

a b c (Å): 5.824 4.649 5.824
angles (deg): 90.00 90.00 90.00
Each line ends with the local moment (μB).
Atoms (fractional coordinates):
Hf (0.000, 0.000, 0.000)  0.01
Ca (0.000, 0.000, 0.500)  0.00
Ca (0.500, 0.000, 0.000)  0.00
Os (0.000, 0.500, 0.000)  -0.05
P (0.500, 0.500, 0.500)  0.00


11.
## Pm3CoPb (PBE)

Data for crystalline Pm3CoPb at its relaxed geometry.

The value obtained for the volume is 403.7 Å³/cell. As for the energy of formation: -0.10 eV/atom. Its total DFT energy (no corrections) is -76.718 eV/cell. As for the space group: Pm-3m (221). The energy above the most stable polymorph in this dataset is 0.138 eV per atom.

a b c (Å): 7.391 7.391 7.391
angles (deg): 90.00 90.00 90.00
Each line ends with the local moment (μB).
Atoms (fractional coordinates):
Pm (0.500, 0.500, 0.500)  0.49
Pm (0.229, 0.229, 0.229)  -0.05
Pm (0.771, 0.771, 0.229)  -0.05
Pm (0.771, 0.229, 0.771)  -0.05
Pm (0.229, 0.771, 0.771)  -0.05
Pm (0.229, 0.229, 0.771)  -0.05
Pm (0.771, 0.771, 0.771)  -0.05
Pm (0.229, 0.771, 0.229)  -0.05
Pm (0.771, 0.229, 0.229)  -0.05
Co (0.500, 0.000, 0.000)  1.24
Co (0.000, 0.500, 0.000)  1.24
Co (0.000, 0.000, 0.500)  1.24
Pb (0.000, 0.500, 0.500)  0.03
Pb (0.500, 0.000, 0.500)  0.03
Pb (0.500, 0.500, 0.000)  0.03


Among the records above, which one has the lowest total DFT energy (no corrections)?
Pu3Pa2S8


total DFT energy (no corrections) of number 5 (Fe2SiPb)?
-24.394 eV/cell


The lowest total DFT energy (no corrections) belongs to which entry?
Pu3Pa2S8